Compound: VCrN3
Source: Alexandria
Functional: PBE
Structure: optimized geometry

Results
calculated volume	50	Å³ per cell
ΔE_f (raw)	2.6	eV/f.u.
ρ	4.8	g/cm³

The structure in CIF format:
```
data_VCrN3
_cell_length_a 3.686
_cell_length_b 3.686
_cell_length_c 3.686
_cell_angle_alpha 90.00
_cell_angle_beta 90.00
_cell_angle_gamma 90.00
_symmetry_space_group_name_H-M 'P m -3 m'
_symmetry_Int_Tables_number 221
_symmetry_space_group_name_Hall '-P 4 2 3'
loop_
_atom_site_label
_atom_site_type_symbol
_atom_site_fract_x
_atom_site_fract_y
_atom_site_fract_z
_atom_site_occupancy
V1 V 0.000 0.000 0.000 1
Cr1 Cr 0.500 0.500 0.500 1
N1 N 0.000 0.500 0.500 1
```